1.
First-principles (GGA-PBE) data for a geometry-optimized BaLa2ZnAg structure, as listed in the Alexandria database.

Properties
ΔE_f	997	meV per atom
DFT total energy	-10.92	eV/cell

Cell lengths 6.008, 6.008, 5.515 Å; angles 90.00, 90.00, 90.00 degrees
Fractional positions:
Ba1 0.000 0.000 0.000
La1 0.000 0.500 0.000
La2 0.500 0.000 0.000
Zn1 0.500 0.500 0.500
Ag1 0.000 0.000 0.500

2.
First-principles (GGA-PBE) data for a geometry-optimized BaLi3Ag2 structure, as listed in the Alexandria database.

Properties
ΔE_f	-169	meV per atom
energy above the lowest structure with this stoichiometry	0.04	eV/f.u.
DFT total energy	-28.76	eV/cell

Cell lengths 8.707, 8.707, 8.600 Å; angles 114.07, 114.07, 29.93 degrees
Fractional positions:
Ba1 0.148 0.148 0.060
Ba2 0.852 0.852 0.940
Li1 0.043 0.043 0.380
Li2 0.313 0.313 0.538
Li3 0.415 0.415 0.347
Li4 0.585 0.585 0.653
Li5 0.687 0.687 0.462
Li6 0.957 0.957 0.620
Ag1 0.187 0.187 0.676
Ag2 0.478 0.478 0.819
Ag3 0.522 0.522 0.181
Ag4 0.813 0.813 0.324

What is the formula in the second record? BaLi3Ag2